# NbCoBiOs2

A crystal of NbCoBiOs2 relaxed with PBEsol (meta-GGA SCAN, the Alexandria database).

Cell lengths 4.4175, 4.4175, 4.6768 Å; angles 90.00, 90.00, 90.00 degrees
With the nearest neighbours (Å) after each atom.
Element x y z (fractional)
Co (0.0000, 0.0000, 0.0000)  4 Os 2.21, 2 Bi 2.34
Nb (0.5000, 0.5000, 0.5000)  4 Bi 3.12, 8 Os 3.22
Os (0.0000, 0.5000, 0.0000)  2 Co 2.21
Os (0.5000, 0.0000, 0.0000)  2 Co 2.21
Bi (0.0000, 0.0000, 0.5000)  2 Co 2.34

**Energy relative to the elements**: 775.9 kJ/mol of formula units

=====

# FeAs

A crystal of FeAs relaxed with PBEsol (meta-GGA SCAN, the Alexandria database).

Cell lengths 2.9488, 4.1343, 4.3933 Å; angles 101.25, 109.61, 90.00 degrees
With the nearest neighbours (Å) after each atom.
Element x y z (fractional)
As (0.6209, 0.7970, 0.2418)  7 Fe 2.35-2.55
As (0.3791, 0.2030, 0.7582)  7 Fe 2.35-2.55
Fe (0.1083, 0.2959, 0.2167)  7 As 2.35-2.55
Fe (0.8917, 0.7041, 0.7833)  7 As 2.35-2.55

**Energy relative to the elements**: 24.2 kJ/mol of formula units

=====

# La2MnZn

A crystal of La2MnZn relaxed with PBEsol (meta-GGA SCAN, the Alexandria database).

Cell lengths 3.5918, 5.2005, 5.2005 Å; angles 90.00, 90.00, 90.00 degrees
With the nearest neighbours (Å) after each atom.
Element x y z (fractional)
La (0.0000, 0.0000, 0.5000)  4 Mn 3.16, 4 Zn 3.16
La (0.0000, 0.5000, 0.0000)  4 Mn 3.16, 4 Zn 3.16
Mn (0.5000, 0.5000, 0.5000)  8 La 3.16
Zn (0.5000, 0.0000, 0.0000)  8 La 3.16

**Energy relative to the elements**: -65.2 kJ/mol of formula units